This record from Alexandria describes a geometry-optimized VP2Se6 structure. The functional is PBE.

POSCAR file:
```
VP2Se6
1.0
3.218 1.858 7.364
-3.218 1.858 7.364
0.000 -3.716 7.364
V P Se
1 2 6
Direct
0.000 0.000 0.000
0.617 0.617 0.617
0.716 0.716 0.716
0.042 0.809 0.381
0.227 0.654 0.888
0.381 0.042 0.809
0.654 0.888 0.227
0.809 0.381 0.042
0.888 0.227 0.654
```

Output
The uncorrected formation energy is -2.33 eV per formula unit. For the energy above the lowest structure with this stoichiometry, the calculation gives 0 meV/atom. As for the symmetry: R3. The calculation puts the mass density at 3.69 g/cm3.